VASP calculation (PBEsol) on a geometry-optimized ScTaN2 structure.

Cell: 3.0474 3.0474 10.5242 Å, 90.00 90.00 120.00°
Last column: nearest neighbours and their distance in Å.
Space group P6_3/mmc (No. 194)
Inequivalent atoms, fractional coordinates:
Sc1 0.0000 0.0000 0.0000 [2 per cell]  6 N 2.20
Ta1 0.3333 0.6667 0.2500 [2 per cell]  6 N 2.20
N1 0.3333 0.6667 0.6249 [4 per cell]  3 Sc 2.20, 3 Ta 2.20

Summary:
Magnetic moment = 0.00 μB/cell
ΔE_f (raw) = -1.860 eV/atom